VASP calculation (PBE) on crystalline In3Bi3S8 at its relaxed geometry.

The structure in POSCAR format:
```
In3Bi3S8
1.0
7.0627 -0.0378 3.9937
2.3121 6.6736 3.9937
-0.0533 -0.0378 8.1135
In Bi S
3 3 8
direct
0.0000 0.0000 0.0000
0.6200 0.6200 0.6200
0.3800 0.3800 0.3800
0.5000 0.0000 0.0000
0.0000 0.5000 0.0000
0.0000 0.0000 0.5000
0.2471 0.2471 0.2471
0.2366 0.2366 0.7697
0.7634 0.7634 0.2303
0.2303 0.7634 0.7634
0.7529 0.7529 0.7529
0.7634 0.2303 0.7634
0.7697 0.2366 0.2366
0.2366 0.7697 0.2366
```

Properties
Total moment ... 0.00 μB per cell
ΔE_f (raw) ... -518 kJ/mol of formula units